Record 1
# PBE-GGA Dy4Tm3PaAs8, relaxed
# Fermi-level density of states   0.319 states/eV per atom
# Spin magnetization   0.0 μB per formula unit
# E_form   -1.472 eV/atom
# Final energy   -102.064 eV/f.u.
data_Dy4Tm3PaAs8
_cell_length_a 8.1760
_cell_length_b 8.1760
_cell_length_c 20.0518
_cell_angle_alpha 90.00
_cell_angle_beta 90.00
_cell_angle_gamma 120.00
_symmetry_space_group_name_H-M 'R -3 m'
_symmetry_Int_Tables_number 166
_symmetry_space_group_name_Hall '-R 3 2"'
loop_
_atom_site_label
_atom_site_fract_x
_atom_site_fract_y
_atom_site_fract_z
Dy1 0.0000 0.0000 0.0000
Dy2 0.0000 0.5000 0.0000
Tm1 0.0000 0.5000 0.5000
Pa1 0.0000 0.0000 0.5000
As1 0.0000 0.0000 0.2488
As2 0.0012 0.5006 0.2485



Record 2
# PBE-GGA Dy2TmPaAs5, relaxed
# Fermi-level density of states   0.419 states/eV per atom
# Spin magnetization   0.0 μB per formula unit
# E_form   -0.451 eV/atom
# Final energy   -50.477 eV/f.u.
data_Dy2TmPaAs5
_cell_length_a 5.058
_cell_length_b 5.058
_cell_length_c 10.797
_cell_angle_alpha 90.00
_cell_angle_beta 90.00
_cell_angle_gamma 90.00
_symmetry_space_group_name_H-M 'P 4/m m m'
_symmetry_Int_Tables_number 123
_symmetry_space_group_name_Hall '-P 4 2'
loop_
_atom_site_label
_atom_site_fract_x
_atom_site_fract_y
_atom_site_fract_z
Dy1 0.000 0.000 0.234
Tm1 0.500 0.500 0.500
Pa1 0.500 0.500 0.000
As1 0.000 0.000 0.500
As2 0.000 0.500 0.000
As3 0.500 0.500 0.255



Record 3
# PBE-GGA DyUPa2As4, relaxed
# Fermi-level density of states   1.604 states/eV per atom
# Spin magnetization   3.0 μB per formula unit
# E_form   -1.083 eV/atom
# Final energy   -62.146 eV/f.u.
data_DyUPa2As4
_cell_length_a 7.073
_cell_length_b 4.085
_cell_length_c 7.126
_cell_angle_alpha 90.00
_cell_angle_beta 109.31
_cell_angle_gamma 90.00
_symmetry_space_group_name_H-M 'P 1 2/m 1'
_symmetry_Int_Tables_number 10
_symmetry_space_group_name_Hall '-P 2y'
loop_
_atom_site_label
_atom_site_fract_x
_atom_site_fract_y
_atom_site_fract_z
Dy1 0.000 0.000 0.000
U1 0.000 0.500 0.500
Pa1 0.500 0.000 0.500
Pa2 0.500 0.500 0.000
As1 0.250 0.000 0.750
As2 0.250 0.500 0.250



Record 4
# PBE-GGA Dy2YPaAs4, relaxed
# Fermi-level density of states   0.675 states/eV per atom
# Spin magnetization   0.0 μB per formula unit
# E_form   -1.424 eV/atom
# Final energy   -55.150 eV/f.u.
data_Dy2YPaAs4
_cell_length_a 7.108
_cell_length_b 4.116
_cell_length_c 7.110
_cell_angle_alpha 90.00
_cell_angle_beta 109.47
_cell_angle_gamma 90.00
_symmetry_space_group_name_H-M 'P 1 2/m 1'
_symmetry_Int_Tables_number 10
_symmetry_space_group_name_Hall '-P 2y'
loop_
_atom_site_label
_atom_site_fract_x
_atom_site_fract_y
_atom_site_fract_z
Dy1 0.000 0.000 0.000
Dy2 0.500 0.500 0.000
Y1 0.000 0.500 0.500
Pa1 0.500 0.000 0.500
As1 0.252 0.500 0.252
As2 0.253 0.000 0.748



Record 5
# PBE-GGA DyYPa2As4, relaxed
# Fermi-level density of states   1.014 states/eV per atom
# Spin magnetization   0.0 μB per formula unit
# E_form   -1.286 eV/atom
# Final energy   -58.944 eV/f.u.
data_DyYPa2As4
_cell_length_a 7.100
_cell_length_b 4.104
_cell_length_c 7.108
_cell_angle_alpha 90.00
_cell_angle_beta 109.50
_cell_angle_gamma 90.00
_symmetry_space_group_name_H-M 'P 1 2/m 1'
_symmetry_Int_Tables_number 10
_symmetry_space_group_name_Hall '-P 2y'
loop_
_atom_site_label
_atom_site_fract_x
_atom_site_fract_y
_atom_site_fract_z
Dy1 0.000 0.000 0.000
Y1 0.000 0.500 0.500
Pa1 0.500 0.000 0.500
Pa2 0.500 0.500 0.000
As1 0.252 0.000 0.751
As2 0.252 0.500 0.250



Record 6
# PBE-GGA Dy3Y4PaAs8, relaxed
# Fermi-level density of states   0.342 states/eV per atom
# Spin magnetization   0.0 μB per formula unit
# E_form   -1.496 eV/atom
# Final energy   -110.284 eV/f.u.
data_Dy3Y4PaAs8
_cell_length_a 8.2264
_cell_length_b 8.2264
_cell_length_c 20.1468
_cell_angle_alpha 90.00
_cell_angle_beta 90.00
_cell_angle_gamma 120.00
_symmetry_space_group_name_H-M 'R -3 m'
_symmetry_Int_Tables_number 166
_symmetry_space_group_name_Hall '-R 3 2"'
loop_
_atom_site_label
_atom_site_fract_x
_atom_site_fract_y
_atom_site_fract_z
Dy1 0.0000 0.5000 0.0000
Y1 0.0000 0.0000 0.5000
Y2 0.0000 0.5000 0.5000
Pa1 0.0000 0.0000 0.0000
As1 0.0000 0.0000 0.2502
As2 0.0033 0.5017 0.7489



Record 7
# PBE-GGA Dy4AsPb2, relaxed
# Fermi-level density of states   0.640 states/eV per atom
# Spin magnetization   0.0 μB per formula unit
# E_form   -0.585 eV/atom
# Final energy   -34.569 eV/f.u.
data_Dy4AsPb2
_cell_length_a 6.667
_cell_length_b 6.566
_cell_length_c 9.808
_cell_angle_alpha 90.00
_cell_angle_beta 109.37
_cell_angle_gamma 90.00
_symmetry_space_group_name_H-M 'P 1 21/m 1'
_symmetry_Int_Tables_number 11
_symmetry_space_group_name_Hall '-P 2yb'
loop_
_atom_site_label
_atom_site_fract_x
_atom_site_fract_y
_atom_site_fract_z
Dy1 0.160 0.250 0.074
Dy2 0.256 0.003 0.757
Dy3 0.303 0.750 0.361
As1 0.484 0.250 0.343
Pb1 0.132 0.250 0.455
Pb2 0.343 0.750 0.047



Record 8
# PBE-GGA DyAsPb, relaxed
# Fermi-level density of states   0.708 states/eV per atom
# Spin magnetization   0.0 μB per formula unit
# E_form   -0.371 eV/atom
# Final energy   -14.072 eV/f.u.
data_DyAsPb
_cell_length_a 7.177
_cell_length_b 7.177
_cell_length_c 7.177
_cell_angle_alpha 90.00
_cell_angle_beta 90.00
_cell_angle_gamma 90.00
_symmetry_space_group_name_H-M 'P 21 3'
_symmetry_Int_Tables_number 198
_symmetry_space_group_name_Hall 'P 2ac 2ab 3'
loop_
_atom_site_label
_atom_site_fract_x
_atom_site_fract_y
_atom_site_fract_z
Dy1 0.027 0.027 0.027
As1 0.168 0.832 0.332
Pb1 0.061 0.561 0.939



Record 9
# PBE-GGA DyAs2Pd7Pb2, relaxed
# Fermi-level density of states   0.387 states/eV per atom
# Spin magnetization   0.0 μB per formula unit
# E_form   -0.466 eV/atom
# Final energy   -63.261 eV/f.u.
data_DyAs2Pd7Pb2
_cell_length_a 5.764
_cell_length_b 5.764
_cell_length_c 14.500
_cell_angle_alpha 90.00
_cell_angle_beta 96.43
_cell_angle_gamma 90.00
_symmetry_space_group_name_H-M 'C 1 2/m 1'
_symmetry_Int_Tables_number 12
_symmetry_space_group_name_Hall '-C 2y'
loop_
_atom_site_label
_atom_site_fract_x
_atom_site_fract_y
_atom_site_fract_z
Dy1 0.000 0.000 0.000
As1 0.071 0.500 0.247
Pd1 0.000 0.500 0.000
Pd2 0.109 0.500 0.420
Pd3 0.207 0.250 0.852
Pb1 0.112 0.000 0.392



Record 10
# PBE-GGA DyAs2Pt7Pb2, relaxed
# Fermi-level density of states   0.225 states/eV per atom
# Spin magnetization   0.0 μB per formula unit
# E_form   -0.565 eV/atom
# Final energy   -70.379 eV/f.u.
data_DyAs2Pt7Pb2
_cell_length_a 5.673
_cell_length_b 5.672
_cell_length_c 15.859
_cell_angle_alpha 90.00
_cell_angle_beta 100.27
_cell_angle_gamma 90.00
_symmetry_space_group_name_H-M 'C 1 2/m 1'
_symmetry_Int_Tables_number 12
_symmetry_space_group_name_Hall '-C 2y'
loop_
_atom_site_label
_atom_site_fract_x
_atom_site_fract_y
_atom_site_fract_z
Dy1 0.000 0.000 0.000
As1 0.117 0.500 0.234
Pt1 0.000 0.500 0.000
Pt2 0.181 0.250 0.862
Pt3 0.196 0.500 0.390
Pb1 0.212 0.000 0.424



Record 11
# PBE-GGA DyAs2Rh7Pb2, relaxed
# Fermi-level density of states   0.760 states/eV per atom
# Spin magnetization   0.0 μB per formula unit
# E_form   -0.270 eV/atom
# Final energy   -76.018 eV/f.u.
data_DyAs2Rh7Pb2
_cell_length_a 5.680
_cell_length_b 5.645
_cell_length_c 14.126
_cell_angle_alpha 90.00
_cell_angle_beta 96.92
_cell_angle_gamma 90.00
_symmetry_space_group_name_H-M 'C 1 2/m 1'
_symmetry_Int_Tables_number 12
_symmetry_space_group_name_Hall '-C 2y'
loop_
_atom_site_label
_atom_site_fract_x
_atom_site_fract_y
_atom_site_fract_z
Dy1 0.000 0.000 0.000
As1 0.074 0.500 0.248
Rh1 0.000 0.500 0.000
Rh2 0.119 0.500 0.422
Rh3 0.205 0.250 0.849
Pb1 0.108 0.000 0.390



Record 12
# PBE-GGA Dy6As3PbS2, relaxed
# Fermi-level density of states   0.233 states/eV per atom
# Uncorrected formation energy   -1.496 eV per atom
# Spin magnetization   0.0 μB per formula unit
# Final energy   -71.472 eV/f.u.
data_Dy6As3PbS2
_cell_length_a 17.909
_cell_length_b 4.079
_cell_length_c 8.305
_cell_angle_alpha 90.00
_cell_angle_beta 103.09
_cell_angle_gamma 90.00
_symmetry_space_group_name_H-M 'C 1 2/m 1'
_symmetry_Int_Tables_number 12
_symmetry_space_group_name_Hall '-C 2y'
loop_
_atom_site_label
_atom_site_fract_x
_atom_site_fract_y
_atom_site_fract_z
Dy1 0.003 0.000 0.267
Dy2 0.167 0.500 0.585
Dy3 0.173 0.500 0.087
As1 0.000 0.500 0.500
As2 0.165 0.000 0.831
Pb1 0.000 0.500 0.000
S1 0.170 0.000 0.340